(A)
## RbRePt (PBE-GGA)

Data for a geometry-optimized RbRePt structure.

The structure in POSCAR format:
```
RbRePt
1.0
-0.426 2.471 -4.173
-3.085 0.863 3.665
3.926 4.476 2.250
Re Rb Pt
2 2 2
direct
0.333 0.667 0.057 Re
0.667 0.333 0.557 Re
0.000 0.000 0.735 Rb
0.000 0.000 0.235 Rb
0.333 0.667 0.458 Pt
0.667 0.333 0.958 Pt
```

Output
Total magnetization   0.0 μB per cell
D(E_F)   5.0 states/eV/cell

(B)
## RbRePt (PBE-GGA)

Data for a geometry-optimized RbRePt structure.

The structure in POSCAR format:
```
RbRePt
1.0
-5.546 -1.299 -9.770
6.166 -4.319 7.662
-2.234 -3.877 0.136
Re Pt Rb
2 2 2
direct
0.117 0.547 0.238 Re
0.629 0.031 0.051 Re
0.690 0.974 0.498 Pt
0.056 0.603 0.791 Pt
0.468 0.196 0.837 Rb
0.279 0.382 0.452 Rb
```

Output
Total magnetization   0.0 μB per cell
D(E_F)   5.5 states/eV/cell

Least stable structure: (A)

(A)
## RbRePt (PBE-GGA)

Data for a geometry-optimized RbRePt structure.

The structure in POSCAR format:
```
RbRePt
1.0
-14.019 0.443 2.052
-2.482 0.295 -3.477
1.997 -3.680 0.898
Re Rb Pt
2 2 2
direct
0.999 0.835 0.165 Re
0.001 0.165 0.835 Re
0.696 0.474 0.526 Rb
0.304 0.526 0.474 Rb
0.886 0.615 0.385 Pt
0.114 0.385 0.615 Pt
```

Output
Total magnetization   0.0 μB per cell
D(E_F)   4.8 states/eV/cell

(B)
## RbRePt (PBE-GGA)

Data for a geometry-optimized RbRePt structure.

The structure in POSCAR format:
```
RbRePt
1.0
-4.601 -4.539 -3.939
0.495 -3.214 3.126
-6.439 2.983 4.086
Re Rb Pt
4 4 4
direct
0.938 0.250 0.453 Re
0.562 0.750 0.953 Re
0.062 0.750 0.547 Re
0.438 0.250 0.047 Re
0.980 0.250 0.874 Rb
0.520 0.750 0.374 Rb
0.020 0.750 0.126 Rb
0.480 0.250 0.626 Rb
0.228 0.250 0.295 Pt
0.272 0.750 0.795 Pt
0.772 0.750 0.705 Pt
0.728 0.250 0.205 Pt
```

Output
Total magnetization   0.0 μB per cell
D(E_F)   1.7 states/eV/cell

(C)
## RbRePt (PBE-GGA)

Data for a geometry-optimized RbRePt structure.

The structure in POSCAR format:
```
RbRePt
1.0
-8.363 -1.626 1.388
1.147 -5.808 0.108
0.891 0.227 2.739
Re Rb Pt
2 2 2
direct
0.175 0.305 0.653 Re
0.175 0.695 0.653 Re
0.807 0.500 0.967 Rb
0.547 0.000 0.827 Rb
0.410 0.500 0.266 Pt
0.014 0.000 0.076 Pt
```

Output
Total magnetization   0.0 μB per cell
D(E_F)   5.1 states/eV/cell

(D)
## RbRePt (PBE-GGA)

Data for a geometry-optimized RbRePt structure.

The structure in POSCAR format:
```
RbRePt
1.0
5.849 0.000 0.000
0.000 4.459 0.000
0.000 0.000 10.983
Re Rb Pt
4 4 4
direct
0.020 0.250 0.819 Re
0.480 0.750 0.319 Re
0.980 0.750 0.181 Re
0.520 0.250 0.681 Re
0.974 0.250 0.391 Rb
0.526 0.750 0.891 Rb
0.026 0.750 0.609 Rb
0.474 0.250 0.109 Rb
0.477 0.250 0.429 Pt
0.023 0.750 0.929 Pt
0.523 0.750 0.571 Pt
0.977 0.250 0.071 Pt
```

Output
Total magnetization   0.0 μB per cell
D(E_F)   18.4 states/eV/cell

Least stable structure: (D)

(A)
## RbRe2Pt (PBE-GGA)

Data for a geometry-optimized RbRe2Pt structure.

The structure in POSCAR format:
```
RbRe2Pt
1.0
-2.939 -1.706 -3.400
-2.624 -2.202 3.373
-8.079 5.583 0.784
Re Rb Pt
4 2 2
direct
0.841 0.125 0.250 Re
0.909 0.625 0.250 Re
0.375 0.159 0.750 Re
0.875 0.091 0.750 Re
0.500 0.500 0.000 Rb
0.250 0.750 0.500 Rb
0.000 0.000 0.000 Pt
0.750 0.250 0.500 Pt
```

Output
Total magnetization   0.0 μB per cell
D(E_F)   9.7 states/eV/cell

(B)
## RbRe2Pt (PBE-GGA)

Data for a geometry-optimized RbRe2Pt structure.

The structure in POSCAR format:
```
RbRe2Pt
1.0
0.000 3.268 3.268
3.268 0.000 3.268
3.268 3.268 0.000
Re Rb Pt
2 1 1
direct
0.250 0.250 0.250 Re
0.750 0.750 0.750 Re
0.000 0.000 0.000 Rb
0.500 0.500 0.500 Pt
```

Output
Total magnetization   0.0 μB per cell
D(E_F)   8.5 states/eV/cell

Least stable structure: (B)

(A)
## RbPtRh2 (PBE-GGA)

Data for a geometry-optimized RbPtRh2 structure.

The structure in POSCAR format:
```
RbPtRh2
1.0
0.000 3.339 3.339
3.339 0.000 3.339
3.339 3.339 0.000
Rh Rb Pt
2 1 1
direct
0.250 0.250 0.250 Rh
0.750 0.750 0.750 Rh
0.000 0.000 0.000 Rb
0.500 0.500 0.500 Pt
```

Output
Total magnetization   2.5 μB per cell
D(E_F)   5.4 states/eV/cell

(B)
## RbPtRh2 (PBE-GGA)

Data for a geometry-optimized RbPtRh2 structure.

The structure in POSCAR format:
```
RbPtRh2
1.0
4.869 0.000 0.000
0.000 4.869 0.000
2.435 2.435 8.825
Rh Rb Pt
4 2 2
direct
0.796 0.125 0.250 Rh
0.954 0.625 0.250 Rh
0.375 0.204 0.750 Rh
0.875 0.046 0.750 Rh
0.500 0.500 0.000 Rb
0.250 0.750 0.500 Rb
0.000 0.000 0.000 Pt
0.750 0.250 0.500 Pt
```

Output
Total magnetization   1.4 μB per cell
D(E_F)   13.3 states/eV/cell

Least stable structure: (A)

(A)
## RbRu3Pt (PBE-GGA)

Data for a geometry-optimized RbRu3Pt structure.

The structure in POSCAR format:
```
RbRu3Pt
1.0
4.669 0.000 0.000
0.000 4.669 0.000
0.000 0.000 4.669
Ru Rb Pt
3 1 1
direct
0.000 0.500 0.000 Ru
0.000 0.000 0.500 Ru
0.500 0.000 0.000 Ru
0.000 0.000 0.000 Rb
0.500 0.500 0.500 Pt
```

Output
Total magnetization   5.1 μB per cell
D(E_F)   6.1 states/eV/cell

(B)
## RbRu3Pt (PBE-GGA)

Data for a geometry-optimized RbRu3Pt structure.

The structure in POSCAR format:
```
RbRu3Pt
1.0
4.976 0.000 0.000
0.000 4.976 0.000
0.000 0.000 4.976
Ru Rb Pt
3 1 1
direct
0.000 0.500 0.000 Ru
0.000 0.000 0.500 Ru
0.500 0.000 0.000 Ru
0.500 0.500 0.500 Rb
0.000 0.000 0.000 Pt
```

Output
Total magnetization   6.1 μB per cell
D(E_F)   11.6 states/eV/cell

Least stable structure: (A)

(A)
## Rb3Sb2Pt (PBE-GGA)

Data for a geometry-optimized Rb3Sb2Pt structure.

The structure in POSCAR format:
```
Rb3Sb2Pt
1.0
-2.430 2.822 2.373
-9.603 0.034 -5.764
-8.443 -8.300 5.333
Rb Sb Pt
6 4 2
direct
0.040 0.164 0.757 Rb
0.960 0.836 0.243 Rb
0.668 0.686 0.978 Rb
0.332 0.314 0.022 Rb
0.794 0.797 0.614 Rb
0.206 0.203 0.386 Rb
0.866 0.475 0.792 Sb
0.134 0.525 0.208 Sb
0.555 0.359 0.532 Sb
0.445 0.641 0.468 Sb
0.418 0.485 0.678 Pt
0.582 0.515 0.322 Pt
```

Output
Total magnetization   0.0 μB per cell
D(E_F)   7.0 states/eV/cell

(B)
## Rb3Sb2Pt (PBE-GGA)

Data for a geometry-optimized Rb3Sb2Pt structure.

The structure in POSCAR format:
```
Rb3Sb2Pt
1.0
6.721 -0.970 2.791
-1.286 6.668 2.791
0.739 0.774 12.310
Rb Sb Pt
6 4 2
direct
0.303 0.697 0.250 Rb
0.697 0.303 0.750 Rb
0.980 0.207 0.063 Rb
0.793 0.020 0.437 Rb
0.020 0.793 0.937 Rb
0.207 0.980 0.563 Rb
0.703 0.557 0.376 Sb
0.443 0.297 0.124 Sb
0.557 0.703 0.876 Sb
0.297 0.443 0.624 Sb
0.609 0.391 0.250 Pt
0.391 0.609 0.750 Pt
```

Output
Total magnetization   0.0 μB per cell
D(E_F)   7.6 states/eV/cell

Least stable structure: (A)

(A)
## RbSbPt2 (PBE-GGA)

Data for a geometry-optimized RbSbPt2 structure.

The structure in POSCAR format:
```
RbSbPt2
1.0
-1.740 -2.076 -4.706
1.321 -4.226 4.508
-5.982 0.333 2.065
Rb Sb Pt
2 2 4
direct
0.928 0.856 0.250 Rb
0.072 0.144 0.750 Rb
0.228 0.456 0.250 Sb
0.772 0.544 0.750 Sb
0.386 0.771 0.954 Pt
0.614 0.229 0.046 Pt
0.614 0.229 0.454 Pt
0.386 0.771 0.546 Pt
```

Output
Total magnetization   0.0 μB per cell
D(E_F)   2.6 states/eV/cell

(B)
## RbSbPt2 (PBE-GGA)

Data for a geometry-optimized RbSbPt2 structure.

The structure in POSCAR format:
```
RbSbPt2
1.0
0.000 3.541 3.541
3.541 0.000 3.541
3.541 3.541 0.000
Sb Rb Pt
1 1 2
direct
0.500 0.500 0.500 Sb
0.000 0.000 0.000 Rb
0.250 0.250 0.250 Pt
0.750 0.750 0.750 Pt
```

Output
Total magnetization   0.0 μB per cell
D(E_F)   2.8 states/eV/cell

Least stable structure: (B)

(A)
## RbSbPt2 (PBE-GGA)

Data for a geometry-optimized RbSbPt2 structure.

The structure in POSCAR format:
```
RbSbPt2
1.0
-0.800 2.741 3.628
-4.320 1.256 1.036
-2.289 -3.701 5.230
Sb Rb Pt
1 1 2
direct
0.000 0.000 0.000 Sb
0.500 0.500 0.500 Rb
0.312 0.312 0.065 Pt
0.688 0.688 0.935 Pt
```

Output
Total magnetization   0.0 μB per cell
D(E_F)   2.9 states/eV/cell

(B)
## RbSbPt2 (PBE-GGA)

Data for a geometry-optimized RbSbPt2 structure.

The structure in POSCAR format:
```
RbSbPt2
1.0
-2.407 -7.074 2.951
7.665 -2.227 0.914
2.636 -3.105 5.644
Sb Rb Pt
2 2 4
direct
0.000 0.000 0.000 Sb
0.750 0.250 0.500 Sb
0.500 0.500 0.000 Rb
0.250 0.750 0.500 Rb
0.730 0.125 0.250 Pt
0.020 0.625 0.250 Pt
0.375 0.270 0.750 Pt
0.875 0.980 0.750 Pt
```

Output
Total magnetization   0.0 μB per cell
D(E_F)   1.4 states/eV/cell

Least stable structure: (B)

(A)
## RbSbPt3 (PBE-GGA)

Data for a geometry-optimized RbSbPt3 structure.

The structure in POSCAR format:
```
RbSbPt3
1.0
5.110 0.000 0.000
0.000 5.110 0.000
0.000 0.000 5.110
Sb Rb Pt
1 1 3
direct
0.000 0.000 0.000 Sb
0.500 0.500 0.500 Rb
0.000 0.500 0.000 Pt
0.000 0.000 0.500 Pt
0.500 0.000 0.000 Pt
```

Output
Total magnetization   0.0 μB per cell
D(E_F)   3.4 states/eV/cell

(B)
## RbSbPt3 (PBE-GGA)

Data for a geometry-optimized RbSbPt3 structure.

The structure in POSCAR format:
```
RbSbPt3
1.0
5.083 0.000 0.000
0.000 5.083 0.000
0.000 0.000 5.083
Sb Rb Pt
1 1 3
direct
0.500 0.500 0.500 Sb
0.000 0.000 0.000 Rb
0.000 0.500 0.000 Pt
0.000 0.000 0.500 Pt
0.500 0.000 0.000 Pt
```

Output
Total magnetization   0.0 μB per cell
D(E_F)   5.5 states/eV/cell

Least stable structure: (B)

(A)
## RbSb3Pt3 (PBE-GGA)

Data for a geometry-optimized RbSb3Pt3 structure.

The structure in POSCAR format:
```
RbSb3Pt3
1.0
7.421 0.000 0.000
0.000 7.421 0.000
0.000 0.000 7.421
Sb Rb Pt
6 2 6
direct
0.000 0.250 0.500 Sb
0.000 0.750 0.500 Sb
0.500 0.000 0.750 Sb
0.750 0.500 0.000 Sb
0.500 0.000 0.250 Sb
0.250 0.500 0.000 Sb
0.500 0.500 0.500 Rb
0.000 0.000 0.000 Rb
0.250 0.000 0.500 Pt
0.000 0.500 0.250 Pt
0.500 0.750 0.000 Pt
0.750 0.000 0.500 Pt
0.000 0.500 0.750 Pt
0.500 0.250 0.000 Pt
```

Output
Total magnetization   0.0 μB per cell
D(E_F)   14.9 states/eV/cell

(B)
## RbSb3Pt3 (PBE-GGA)

Data for a geometry-optimized RbSb3Pt3 structure.

The structure in POSCAR format:
```
RbSb3Pt3
1.0
7.580 0.000 0.000
3.790 6.564 0.000
3.790 2.188 8.719
Rb Sb Pt
2 6 6
direct
0.336 0.336 0.993 Rb
0.664 0.664 0.007 Rb
0.214 0.572 0.307 Sb
0.907 0.214 0.307 Sb
0.572 0.907 0.307 Sb
0.428 0.093 0.693 Sb
0.093 0.786 0.693 Sb
0.786 0.428 0.693 Sb
0.469 0.783 0.609 Pt
0.783 0.140 0.609 Pt
0.140 0.469 0.609 Pt
0.860 0.531 0.391 Pt
0.217 0.860 0.391 Pt
0.531 0.217 0.391 Pt
```

Output
Total magnetization   0.0 μB per cell
D(E_F)   3.8 states/eV/cell

Least stable structure: (A)

(A)
## Rb2SbPt2 (PBE-GGA)

Data for a geometry-optimized Rb2SbPt2 structure.

The structure in POSCAR format:
```
Rb2SbPt2
1.0
7.014 0.000 0.000
-3.507 5.009 0.326
0.000 -1.812 8.088
Rb Sb Pt
4 2 4
direct
0.524 0.277 0.136 Rb
0.246 0.723 0.364 Rb
0.476 0.723 0.864 Rb
0.754 0.277 0.636 Rb
0.928 0.000 0.250 Sb
0.072 0.000 0.750 Sb
0.730 0.732 0.501 Pt
0.997 0.268 0.999 Pt
0.270 0.268 0.499 Pt
0.003 0.732 0.001 Pt
```

Output
Total magnetization   0.0 μB per cell
D(E_F)   1.8 states/eV/cell

(B)
## Rb2SbPt2 (PBE-GGA)

Data for a geometry-optimized Rb2SbPt2 structure.

The structure in POSCAR format:
```
Rb2SbPt2
1.0
6.986 0.000 0.000
0.000 6.986 0.000
0.000 0.000 5.758
Sb Rb Pt
2 4 4
direct
0.000 0.000 0.000 Sb
0.500 0.500 0.000 Sb
0.176 0.676 0.500 Rb
0.676 0.824 0.500 Rb
0.824 0.324 0.500 Rb
0.324 0.176 0.500 Rb
0.366 0.866 0.000 Pt
0.866 0.634 0.000 Pt
0.634 0.134 0.000 Pt
0.134 0.366 0.000 Pt
```

Output
Total magnetization   0.0 μB per cell
D(E_F)   5.0 states/eV/cell

Least stable structure: (B)